First-principles (PBE-GGA) data for a relaxed MnFeHgB2 crystal, as listed in Alexandria.

```
MnFeHgB2
1.0
-2.046 -1.754 3.181
-3.008 -2.384 -3.250
2.642 -3.225 -0.079
B Mn Hg Fe
2 1 1 1
Direct
0.000 0.000 0.500
0.500 0.000 0.000
0.500 0.500 0.500
0.000 0.000 0.000
0.000 0.500 0.000
```

Values from the calculation:
The crystal system is tetragonal. The energy relative to the elements comes out at 2.029 eV/atom.

First-principles (PBE-GGA) data for a relaxed FeHg2BN crystal, as listed in Alexandria.

```
FeHg2BN
1.0
-1.650 2.899 3.897
-2.832 -1.875 0.196
2.315 -3.149 3.322
B N Hg Fe
1 1 2 1
Direct
0.500 0.500 0.500
0.000 0.500 0.000
0.000 0.000 0.500
0.500 0.000 0.000
0.000 0.000 0.000
```

Values from the calculation:
The crystal system is tetragonal. The uncorrected formation energy is 5.8 eV per formula unit.

The records above yield DOS at the Fermi energy values of 0.576, 0.643 states/eV per atom, respectively.